(1)
An optimized crystal structure of NaCaDy2Tl4. Source: the Alexandria database, functional PBE-GGA.

Computed properties:
The total energy comes out at -24.4 eV for the cell shown. As for the symmetry: R-3m (166). For the total magnetic moment, the calculation gives 0.000 μB per atom.

abc: 5.376 5.376 9.367
angles: 73.32 73.32 60.00
Atoms (fractional coordinates):
Tl (0.874, 0.874, 0.378)
Tl (0.623, 0.623, 0.130)
Tl (0.377, 0.377, 0.870)
Ca (0.000, 0.000, 0.000)
Tl (0.126, 0.126, 0.622)
Na (0.500, 0.500, 0.500)
Dy (0.248, 0.248, 0.256)
Dy (0.752, 0.752, 0.744)

***

(2)
An optimized crystal structure of MoH3W. Source: the Alexandria database, functional PBE-GGA.

Computed properties:
The total energy comes out at -30.8 eV for the cell shown. As for the symmetry: Pm-3m (221). For the total magnetic moment, the calculation gives 0.000 μB per atom.

abc: 3.477 3.477 3.477
angles: 90.00 90.00 90.00
Atoms (fractional coordinates):
H (0.000, 0.000, 0.500)
Mo (0.500, 0.500, 0.500)
H (0.500, 0.000, 0.000)
W (0.000, 0.000, 0.000)
H (0.000, 0.500, 0.000)